1.
Computed, not measured: crystalline PuMgPa2N5 at its relaxed geometry at the GGA-PBE level of DFT.

Cell: 3.506 13.569 11.111 Å, 90.00 90.00 90.00°
Space group Cmc2_1 (No. 36)
Symmetry-distinct sites (fractional):
Pu (0.000, 0.224, 0.000) [4 per cell]
Mg (0.000, 0.494, 0.497) [4 per cell]
Pa (0.000, 0.127, 0.718) [4 per cell]
Pa (0.000, 0.130, 0.256) [4 per cell]
N (0.000, 0.067, 0.069) [4 per cell]
N (0.000, 0.281, 0.655) [4 per cell]
N (0.000, 0.296, 0.343) [4 per cell]
N (0.000, 0.373, 0.093) [4 per cell]
N (0.000, 0.467, 0.809) [4 per cell]

DOS at the Fermi energy, states/eV/f.u.: 7.18
Uncorrected formation energy, kcal/mol of atoms: -28.89
Magnetic moment, μB/cell: 20.0



2.
Computed, not measured: crystalline Ti3Sn at its relaxed geometry at the GGA-PBE level of DFT.

Cell: 4.765 5.721 5.271 Å, 90.00 90.00 90.00°
Space group Pmmn (No. 59, origin choice 2)
Symmetry-distinct sites (fractional):
Ti (0.250, 0.001, 0.145) [4 per cell]
Ti (0.250, 0.250, 0.650) [2 per cell]
Sn (0.250, 0.750, 0.658) [2 per cell]

ΔH_f (0 K), eV/atom: -0.286
DOS at the Fermi energy, states/eV/f.u.: 4.34
Magnetic moment, μB/cell: 0.0